Density functional theory data (PBE) for a relaxed Dy2Ge3Pd2 crystal.

The space group is Cmcm (No. 63) and the conventional cell measures 4.213, 18.293 and 7.041 Å, with angles of 90.00, 90.00 and 90.00 degrees. The inequivalent atoms are Dy at (0.000, 0.053, 0.250), Dy at (0.000, 0.156, 0.750), Ge at (0.000, 0.223, 0.250), Ge at (0.000, 0.437, 0.066) and Pd at (0.000, 0.306, 0.548).

The energy relative to the lowest polymorph listed for this composition comes out at 0.00 eV per formula unit. The formation energy is -0.8549 eV per atom. The calculation puts the total energy at -5.632 eV/atom. The value obtained for the calculated density is 9.25 g/cm3. The calculation puts the density of states at the Fermi level at 0.44 states/eV/atom. The value obtained for the total magnetization is 0.0 μB/f.u.

Density functional theory data (PBE) for a relaxed Dy3Ge3Pd2 crystal.

The space group is Pnma (No. 62) and the conventional cell measures 8.006, 14.479 and 5.762 Å, with angles of 90.00, 90.00 and 90.00 degrees. The inequivalent atoms are Dy at (0.038, 0.110, 0.134), Dy at (0.185, 0.250, 0.629), Ge at (0.180, 0.750, 0.619), Ge at (0.202, 0.040, 0.599) and Pd at (0.088, 0.605, 0.375).

The energy relative to the lowest polymorph listed for this composition comes out at 0.45 eV per formula unit. The formation energy is -0.8969 eV per atom. The calculation puts the total energy at -5.652 eV/atom. The value obtained for the calculated density is 9.13 g/cm3. The calculation puts the density of states at the Fermi level at 0.45 states/eV/atom. The value obtained for the total magnetization is 0.0 μB/f.u.

Density functional theory data (PBE) for a relaxed Dy8Ge5Pd crystal.

The space group is I-4 (No. 82) and the conventional cell measures 8.788, 8.788 and 8.917 Å, with angles of 90.00, 90.00 and 90.00 degrees. The inequivalent atoms are Dy at (0.063, 0.313, 0.056), Dy at (0.070, 0.185, 0.686), Ge at (0.000, 0.500, 0.750), Ge at (0.125, 0.250, 0.372) and Pd at (0.000, 0.000, 0.000).

The formation energy is -0.8053 eV per atom. The calculation puts the total energy at -5.455 eV/atom. The value obtained for the calculated density is 8.53 g/cm3. The calculation puts the density of states at the Fermi level at 0.49 states/eV/atom. The value obtained for the total magnetization is 0.0 μB/f.u.